1.
Here is a relaxed VFe2P crystal from Alexandria via LeMat-Bulk. Energies are from PBE.

Output
V: 12.823 Å³/atom
crystal system: tetragonal
E: -7.734 eV per atom
E_form: 0.130 eV per atom
M_tot: 6.71 μB/cell

POSCAR file:
```
VFe2P
1.0
6.519 0.000 0.000
0.000 6.519 0.000
3.259 3.259 2.414
Fe V P
4 2 2
Direct
0.581 0.125 0.250 Fe
0.169 0.625 0.250 Fe
0.375 0.419 0.750 Fe
0.875 0.831 0.750 Fe
0.000 0.000 0.000 V
0.750 0.250 0.500 V
0.250 0.750 0.500 P
0.500 0.500 0.000 P
```



2.
Here is a relaxed VFeP3 crystal from Alexandria via LeMat-Bulk. Energies are from PBE.

Output
V: 18.211 Å³/atom
crystal system: cubic
offset from the most stable computed form: 0.072 eV/atom
E: -6.090 eV per atom
E_form: 0.672 eV per atom
M_tot: 3.20 μB/cell

POSCAR file:
```
VFeP3
1.0
4.499 0.000 0.000
0.000 4.499 0.000
0.000 0.000 4.499
P Fe V
3 1 1
Direct
0.500 0.000 0.000 P
0.000 0.500 0.000 P
0.000 0.000 0.500 P
0.500 0.500 0.500 Fe
0.000 0.000 0.000 V
```



3.
Here is a relaxed V4FeP crystal from Alexandria via LeMat-Bulk. Energies are from PBE.

Output
V: 15.560 Å³/atom
crystal system: tetragonal
E: -8.060 eV per atom
E_form: 0.331 eV per atom
M_tot: 0.01 μB/cell

POSCAR file:
```
V4FeP
1.0
6.236 0.152 0.000
-2.379 5.766 0.000
-1.929 -2.959 5.141
V Fe P
8 2 2
Direct
0.294 0.493 0.801 V
0.815 0.007 0.808 V
0.243 0.942 0.699 V
0.199 0.007 0.192 V
0.757 0.065 0.308 V
0.692 0.493 0.199 V
0.757 0.449 0.692 V
0.243 0.544 0.301 V
0.002 0.502 0.500 Fe
0.252 0.252 0.000 Fe
0.498 0.998 0.500 P
0.748 0.748 0.000 P
```